Entry 1:
Material: Ce2YZn2Si2
Method: DFT, PBE
State: relaxed

Values from the calculation:
electronic total energy: -34.64 eV per cell
M_tot: 0.248 μB/atom
uncorrected formation energy: -2.9 eV/f.u.

Structure (POSCAR):
```
Ce2YZn2Si2
1.0
4.223 0.000 0.000
2.112 3.657 0.000
2.112 1.219 9.171
Ce Y Zn Si
2 1 2 2
Direct
0.141 0.141 0.578
0.859 0.859 0.422
0.000 0.000 0.000
0.598 0.598 0.207
0.402 0.402 0.793
0.736 0.736 0.791
0.264 0.264 0.209
```


Entry 2:
Material: CuP2Pd2
Method: DFT, PBE
State: relaxed

Values from the calculation:
energy of formation: -0.191 eV per atom
electronic total energy: -52.51 eV per cell
M_tot: 0.000 μB/atom

Structure (POSCAR):
```
CuP2Pd2
1.0
5.986 0.000 0.000
0.000 5.986 0.000
0.000 0.000 4.126
P Cu Pd
4 2 4
Direct
0.374 0.874 0.000
0.874 0.626 0.000
0.626 0.126 0.000
0.126 0.374 0.000
0.000 0.000 0.000
0.500 0.500 0.000
0.238 0.738 0.500
0.738 0.762 0.500
0.762 0.262 0.500
0.262 0.238 0.500
```


Entry 3:
Material: Re3Se
Method: DFT, PBE
State: relaxed

Values from the calculation:
electronic total energy: -76.41 eV per cell
M_tot: 0.000 μB/atom
energy above the most stable polymorph in this dataset: 350 meV/atom
uncorrected formation energy: 2.6 eV/f.u.

Structure (POSCAR):
```
Re3Se
1.0
6.747 -1.163 -0.002
4.787 4.892 0.155
-5.781 -1.952 3.105
Re Se
6 2
Direct
0.000 0.500 0.500
0.500 0.000 0.500
0.750 0.250 0.500
0.250 0.750 0.500
0.886 0.886 0.000
0.114 0.114 0.000
0.629 0.629 0.000
0.371 0.371 0.000
```


Entry 4:
Material: Nb2PAu2
Method: DFT, PBE
State: relaxed

Values from the calculation:
energy of formation: 0.465 eV per atom
electronic total energy: -29.78 eV per cell
M_tot: 0.000 μB/atom

Structure (POSCAR):
```
Nb2PAu2
1.0
3.718 0.000 0.000
0.000 3.718 0.000
1.859 1.859 7.052
P Nb Au
1 2 2
Direct
0.000 0.000 0.000
0.750 0.250 0.500
0.250 0.750 0.500
0.404 0.404 0.192
0.596 0.596 0.808
```